{"formula": "DyPd2", "functional": "PBE-GGA", "state": "relaxed", "lattice_angstrom": [[3.858, -0.003, 0.005], [-1.927, 4.785, 1.107], [0.011, 1.336, 7.024]], "species": ["Dy", "Dy", "Pd", "Pd", "Pd", "Pd"], "frac_coords": [[0.629, 0.262, 0.247], [0.364, 0.735, 0.754], [0.631, 0.270, 0.839], [0.363, 0.728, 0.162], [0.123, 0.253, 0.554], [0.870, 0.744, 0.447]], "e_form_ev_per_atom": -0.70, "crystal_system": "triclinic", "dft_energy_ev_per_cell": -34.18}

{"formula": "Dy3Pd5", "functional": "PBE-GGA", "state": "relaxed", "lattice_angstrom": [[-2.590, 4.527, -2.614], [-2.588, -0.361, 5.215], [6.641, 5.939, 3.707]], "species": ["Dy", "Dy", "Dy", "Dy", "Dy", "Dy", "Pd", "Pd", "Pd", "Pd", "Pd", "Pd", "Pd", "Pd", "Pd", "Pd"], "frac_coords": [[0.203, 0.797, 0.000], [0.797, 0.203, 0.000], [0.797, 0.203, 0.500], [0.203, 0.797, 0.500], [0.617, 0.617, 0.750], [0.383, 0.383, 0.250], [0.504, 0.056, 0.750], [0.496, 0.944, 0.250], [0.056, 0.504, 0.750], [0.944, 0.496, 0.250], [0.016, 0.016, 0.750], [0.984, 0.984, 0.250], [0.311, 0.311, 0.955], [0.689, 0.689, 0.045], [0.689, 0.689, 0.455], [0.311, 0.311, 0.545]], "e_form_ev_per_atom": -0.93, "crystal_system": "orthorhombic", "dft_energy_ev_per_cell": -94.48}